[1]
! ScBi3Rh | the Alexandria database | PBEsol | optimized geometry; values from VASP
! SG: Pm-3m (221)
! formation energy: 0.87 eV/atom
&SYSTEM
  ibrav = 0, nat = 5, ntyp = 3
/
ATOMIC_SPECIES
Bi 208.98 Bi.upf
Sc 44.96 Sc.upf
Rh 102.91 Rh.upf
ATOMIC_POSITIONS angstrom
Bi -1.472 -1.651 -1.525
Sc 0.000 0.000 0.000
Bi -2.095 0.349 1.645
Rh -2.754 -3.392 1.599
Bi 0.813 -2.090 1.479
CELL_PARAMETERS angstrom
-4.190 0.698 3.289
-2.944 -3.301 -3.049
1.625 -4.180 2.957

[2]
! Mg2OsAu | the Alexandria database | PBEsol | optimized geometry; values from VASP
! SG: Cmmm (65)
! formation energy: -0.04 eV/atom
&SYSTEM
  ibrav = 0, nat = 4, ntyp = 3
/
ATOMIC_SPECIES
Os 190.23 Os.upf
Mg 24.30 Mg.upf
Au 196.97 Au.upf
ATOMIC_POSITIONS angstrom
Os -0.623 0.669 -1.051
Mg -2.133 -0.130 1.183
Au -2.608 -1.476 -1.240
Mg 0.149 -2.016 -1.372
CELL_PARAMETERS angstrom
-1.247 1.339 -2.101
0.298 -4.031 -2.744
-4.267 -0.259 2.366

[3]
! AlFeRh | the Alexandria database | PBEsol | optimized geometry; values from VASP
! SG: F-43m (216)
! formation energy: 0.00 eV/atom
&SYSTEM
  ibrav = 0, nat = 3, ntyp = 3
/
ATOMIC_SPECIES
Al 26.98 Al.upf
Fe 55.84 Fe.upf
Rh 102.91 Rh.upf
ATOMIC_POSITIONS angstrom
Al -2.931 -3.524 1.544
Fe -1.466 -1.762 0.772
Rh 0.000 0.000 0.000
CELL_PARAMETERS angstrom
-3.271 -0.801 2.063
-2.376 -2.945 -1.131
-0.216 -3.302 2.156

[4]
! LiPtCl2 | the Alexandria database | PBEsol | optimized geometry; values from VASP
! uncorrected formation energy: -0.54 eV per atom
! SG: Imm2 (44)
! energy above the lowest structure with this stoichiometry: 69 meV per atom
&SYSTEM
  ibrav = 0, nat = 4, ntyp = 3
/
ATOMIC_SPECIES
Li 6.94 Li.upf
Pt 195.08 Pt.upf
Cl 35.45 Cl.upf
ATOMIC_POSITIONS angstrom
Li -0.726 0.091 -2.285
Pt -2.752 -2.152 -0.721
Cl -0.063 -0.024 0.014
Cl -3.869 -0.055 -0.252
CELL_PARAMETERS angstrom
-1.355 2.378 -1.924
0.206 -2.079 -2.713
-5.686 -2.589 3.713

[5]
! LiCd2Hg2 | the Alexandria database | PBEsol | optimized geometry; values from VASP
! SG: P4/mbm (127)
! energy above the lowest structure with this stoichiometry: 0 meV per atom
! formation energy: -0.10 eV/atom
&SYSTEM
  ibrav = 0, nat = 10, ntyp = 3
/
ATOMIC_SPECIES
Li 6.94 Li.upf
Cd 112.41 Cd.upf
Hg 200.59 Hg.upf
ATOMIC_POSITIONS angstrom
Li -3.372 -0.081 4.043
Cd -6.272 -1.497 2.856
Hg -5.436 -1.078 5.731
Hg -1.308 0.916 2.356
Cd -6.082 1.662 5.247
Cd -3.195 3.190 2.997
Li 0.000 0.000 0.000
Hg -3.145 2.232 5.687
Hg -3.599 -2.393 2.399
Cd -3.385 0.032 0.606
CELL_PARAMETERS angstrom
-2.722 1.855 -2.234
-5.211 -4.739 2.417
-1.533 4.577 5.670

[6]
! CaBrO2F | the Alexandria database | PBEsol | optimized geometry; values from VASP
! uncorrected formation energy: -1.01 eV per atom
! SG: P4/mmm (123)
&SYSTEM
  ibrav = 0, nat = 5, ntyp = 4
/
ATOMIC_SPECIES
Ca 40.08 Ca.upf
Br 79.90 Br.upf
O 16.00 O.upf
F 19.00 F.upf
ATOMIC_POSITIONS angstrom
Ca -0.250 -0.980 3.588
Br 0.000 0.000 0.000
O -0.154 -1.871 0.543
F 1.475 0.450 1.969
O -1.571 0.441 1.076
CELL_PARAMETERS angstrom
-3.142 0.882 2.151
-0.307 -3.742 1.085
2.950 0.900 3.938

[7]
! YCoIr2 | the Alexandria database | PBEsol | optimized geometry; values from VASP
! SG: P4mm (99)
! energy above the lowest structure with this stoichiometry: 124 meV per atom
! formation energy: 0.05 eV/atom
&SYSTEM
  ibrav = 0, nat = 4, ntyp = 3
/
ATOMIC_SPECIES
Ir 192.22 Ir.upf
Y 88.91 Y.upf
Co 58.93 Co.upf
ATOMIC_POSITIONS angstrom
Ir 2.370 -5.159 2.506
Y 1.237 -2.693 1.308
Co 3.245 -4.689 0.284
Ir 1.776 -1.491 -1.270
CELL_PARAMETERS angstrom
-0.418 -1.525 -2.744
2.897 0.879 -0.930
2.459 -5.354 2.601

[8]
! KYFe2 | the Alexandria database | PBEsol | optimized geometry; values from VASP
! SG: P4/mmm (123)
! formation energy: 1.12 eV/atom
&SYSTEM
  ibrav = 0, nat = 4, ntyp = 3
/
ATOMIC_SPECIES
K 39.10 K.upf
Y 88.91 Y.upf
Fe 55.84 Fe.upf
ATOMIC_POSITIONS angstrom
K 1.768 2.460 2.460
Y 1.768 0.000 0.000
Fe 0.000 2.460 0.000
Fe 0.000 0.000 2.460
CELL_PARAMETERS angstrom
3.536 0.000 0.000
0.000 4.920 0.000
0.000 0.000 4.920

[9]
! CoHgSb3 | the Alexandria database | PBEsol | optimized geometry; values from VASP
! uncorrected formation energy: 1.50 eV per atom
! SG: Pm-3m (221)
&SYSTEM
  ibrav = 0, nat = 5, ntyp = 3
/
ATOMIC_SPECIES
Hg 200.59 Hg.upf
Sb 121.76 Sb.upf
Co 58.93 Co.upf
ATOMIC_POSITIONS angstrom
Hg 0.000 0.000 0.000
Sb 2.703 0.000 0.000
Sb 0.000 0.000 2.703
Co 2.703 2.703 2.703
Sb 0.000 2.703 0.000
CELL_PARAMETERS angstrom
5.406 0.000 0.000
0.000 5.406 0.000
0.000 0.000 5.406

[10]
! InHgPb2 | the Alexandria database | PBEsol | optimized geometry; values from VASP
! SG: Pmmm (47)
! energy above the lowest structure with this stoichiometry: 26 meV per atom
! formation energy: 0.03 eV/atom
&SYSTEM
  ibrav = 0, nat = 4, ntyp = 3
/
ATOMIC_SPECIES
Pb 207.20 Pb.upf
In 114.82 In.upf
Hg 200.59 Hg.upf
ATOMIC_POSITIONS angstrom
Pb 0.000 0.000 0.000
Pb 1.809 0.000 2.733
In 0.000 2.740 2.733
Hg 1.809 2.740 0.000
CELL_PARAMETERS angstrom
3.619 0.000 0.000
0.000 5.479 0.000
0.000 0.000 5.466

[11]
! HoMg | the Alexandria database | PBEsol | optimized geometry; values from VASP
! SG: Pm-3m (221)
! formation energy: -0.06 eV/atom
&SYSTEM
  ibrav = 0, nat = 2, ntyp = 2
/
ATOMIC_SPECIES
Mg 24.30 Mg.upf
Ho 164.93 Ho.upf
ATOMIC_POSITIONS angstrom
Mg 0.000 0.000 0.000
Ho 1.862 1.862 1.862
CELL_PARAMETERS angstrom
3.724 0.000 0.000
0.000 3.724 0.000
0.000 0.000 3.724

[12]
! Fe2AuSe | the Alexandria database | PBEsol | optimized geometry; values from VASP
! uncorrected formation energy: 0.38 eV per atom
! SG: I-4m2 (119)
&SYSTEM
  ibrav = 0, nat = 4, ntyp = 3
/
ATOMIC_SPECIES
Se 78.96 Se.upf
Fe 55.84 Fe.upf
Au 196.97 Au.upf
ATOMIC_POSITIONS angstrom
Se 1.871 1.871 0.000
Fe 0.000 0.000 0.000
Au 0.000 1.871 2.089
Fe 1.871 0.000 2.089
CELL_PARAMETERS angstrom
3.741 0.000 0.000
0.000 3.741 0.000
-1.871 -1.871 4.178

no.,size of the total moment (μB/cell)
1,0.0
2,0.0
3,2.1
4,0.0
5,0.0
6,0.0
7,1.5
8,4.6
9,2.3
10,0.0
11,0.0
12,5.9